Version w
A relaxed structure of La5Zr, computed with PBE-GGA.

Properties
Crystal system: hexagonal

Lattice parameters (Å, degrees): 6.3982 6.3982 5.9800 90.00 90.00 120.00
Space group P6/mmm (No. 191)
Unique sites:
La: 0.0000 0.5000 0.0000 [3 per cell]
La: 0.3333 0.6667 0.5000 [2 per cell]
Zr: 0.0000 0.0000 0.5000 [1 per cell]


Version x
A relaxed structure of La5Zr, computed with PBE-GGA.

Properties
Crystal system: orthorhombic

Lattice parameters (Å, degrees): 5.9616 3.5791 19.0891 90.00 90.00 90.00
Space group Amm2 (No. 38)
Unique sites:
La: 0.0000 0.0000 0.0000 [2 per cell]
La: 0.0000 0.0000 0.3109 [2 per cell]
La: 0.5000 0.0000 0.0983 [2 per cell]
La: 0.5000 0.0000 0.4208 [2 per cell]
La: 0.5000 0.0000 0.7531 [2 per cell]
Zr: 0.0000 0.0000 0.6556 [2 per cell]


The structure with the least stability is version w.


Version w
A relaxed structure of La5Zr, computed with PBE-GGA.

Properties
Crystal system: hexagonal

Lattice parameters (Å, degrees): 6.3731 6.3731 5.8191 90.00 90.00 120.00
Space group P-62m (No. 189)
Unique sites:
La: 0.0000 0.6985 0.0000 [3 per cell]
La: 0.3333 0.6667 0.5000 [2 per cell]
Zr: 0.0000 0.0000 0.5000 [1 per cell]


Version x
A relaxed structure of La5Zr, computed with PBE-GGA.

Properties
Crystal system: orthorhombic

Lattice parameters (Å, degrees): 5.0821 15.6558 5.0757 90.00 90.00 90.00
Space group Cmmm (No. 65)
Unique sites:
La: 0.0000 0.0000 0.0000 [2 per cell]
La: 0.0000 0.1579 0.5000 [4 per cell]
La: 0.0000 0.3416 0.0000 [4 per cell]
Zr: 0.0000 0.5000 0.5000 [2 per cell]


The structure with the least stability is version w.


Version w
A relaxed structure of La3Zr2, computed with PBE-GGA.

Properties
Crystal system: trigonal

Lattice parameters (Å, degrees): 3.4793 3.4793 42.7279 90.00 90.00 120.00
Space group R-3m (No. 166, hexagonal axes)
Unique sites:
La: 0.0000 0.0000 0.0000 [3 per cell]
La: 0.0000 0.0000 0.2057 [6 per cell]
Zr: 0.0000 0.0000 0.3973 [6 per cell]


Version x
A relaxed structure of La3Zr2, computed with PBE-GGA.

Properties
Crystal system: trigonal

Lattice parameters (Å, degrees): 5.4052 5.4052 6.5078 90.00 90.00 120.00
Space group P-3m1 (No. 164)
Unique sites:
La: 0.0000 0.0000 0.0000 [1 per cell]
La: 0.3333 0.6667 0.3670 [2 per cell]
Zr: 0.3333 0.6667 0.9074 [2 per cell]


The structure with the least stability is version x.


Version w
A relaxed structure of LaZr4, computed with PBE-GGA.

Properties
Crystal system: tetragonal

Lattice parameters (Å, degrees): 7.3649 7.3649 4.6300 90.00 90.00 90.00
Space group I4/m (No. 87)
Unique sites:
La: 0.0000 0.0000 0.0000 [2 per cell]
Zr: 0.0887 0.6915 0.5000 [8 per cell]


Version x
A relaxed structure of LaZr4, computed with PBE-GGA.

Properties
Crystal system: tetragonal

Lattice parameters (Å, degrees): 4.3294 4.3294 14.3184 90.00 90.00 90.00
Space group I4/mmm (No. 139)
Unique sites:
La: 0.0000 0.0000 0.0000 [2 per cell]
Zr: 0.0000 0.0000 0.4018 [4 per cell]
Zr: 0.0000 0.5000 0.2500 [4 per cell]


The structure with the least stability is version x.


Version w
A relaxed structure of Li, computed with PBE-GGA.

Properties
Crystal system: cubic

Lattice parameters (Å, degrees): 3.4314 3.4314 3.4314 90.00 90.00 90.00
Space group Im-3m (No. 229)
Unique sites:
Li: 0.0000 0.0000 0.0000 [2 per cell]


Version x
A relaxed structure of Li, computed with PBE-GGA.

Properties
Crystal system: hexagonal

Lattice parameters (Å, degrees): 10.1382 10.1382 2.8613 90.00 90.00 120.00
Space group P6_3/m (No. 176)
Unique sites:
Li: 0.0695 0.2935 0.2500 [6 per cell]
Li: 0.1482 0.6138 0.2500 [6 per cell]


The structure with the least stability is version x.


Version w
A relaxed structure of Li, computed with PBE-GGA.

Properties
Crystal system: cubic

Lattice parameters (Å, degrees): 5.8850 5.8850 5.8850 90.00 90.00 90.00
Space group Fd-3m (No. 227, origin choice 2)
Unique sites:
Li: 0.1250 0.1250 0.1250 [8 per cell]


Version x
A relaxed structure of Li, computed with PBE-GGA.

Properties
Crystal system: hexagonal

Lattice parameters (Å, degrees): 2.9461 2.9461 2.6669 90.00 90.00 120.00
Space group P6/mmm (No. 191)
Unique sites:
Li: 0.0000 0.0000 0.0000 [1 per cell]


Version y
A relaxed structure of Li, computed with PBE-GGA.

Properties
Crystal system: hexagonal

Lattice parameters (Å, degrees): 3.0720 3.0720 9.8279 90.00 90.00 120.00
Space group P6_3/mmc (No. 194)
Unique sites:
Li: 0.0000 0.0000 0.0000 [2 per cell]
Li: 0.3333 0.6667 0.2500 [2 per cell]


The structure with the least stability is version w.


Version w
A relaxed structure of Li, computed with PBE-GGA.

Properties
Crystal system: triclinic

Lattice parameters (Å, degrees): 3.0595 3.0687 9.9610 90.73 98.20 119.18
Space group P1 (No. 1)
Unique sites:
Li: 0.0000 0.0000 0.0000 [1 per cell]
Li: 0.1682 0.5728 0.7502 [1 per cell]
Li: 0.6529 0.8495 0.5000 [1 per cell]
Li: 0.8262 0.4275 0.2502 [1 per cell]


Version x
A relaxed structure of Li, computed with PBE-GGA.

Properties
Crystal system: tetragonal

Lattice parameters (Å, degrees): 5.2727 5.2727 2.9053 90.00 90.00 90.00
Space group I4_1/amd (No. 141, origin choice 2)
Unique sites:
Li: 0.0000 0.2500 0.3750 [4 per cell]


Version y
A relaxed structure of Li, computed with PBE-GGA.

Properties
Crystal system: orthorhombic

Lattice parameters (Å, degrees): 3.0008 5.3255 10.0524 90.00 90.00 90.00
Space group Fddd (No. 70, origin choice 2)
Unique sites:
Li: 0.1250 0.1250 0.1250 [8 per cell]


Version z
A relaxed structure of Li, computed with PBE-GGA.

Properties
Crystal system: tetragonal

Lattice parameters (Å, degrees): 10.5716 10.5716 2.9623 90.00 90.00 90.00
Space group I4/m (No. 87)
Unique sites:
Li: 0.0750 0.3456 0.0000 [8 per cell]
Li: 0.1130 0.8413 0.5000 [8 per cell]


The structure with the least stability is version x.


Version w
A relaxed structure of Li, computed with PBE-GGA.

Properties
Crystal system: trigonal

Lattice parameters (Å, degrees): 3.0497 3.0497 7.4981 90.00 90.00 120.00
Space group R-3m (No. 166, hexagonal axes)
Unique sites:
Li: 0.0000 0.0000 0.0000 [3 per cell]


Version x
A relaxed structure of Li, computed with PBE-GGA.

Properties
Crystal system: hexagonal

Lattice parameters (Å, degrees): 4.6281 4.6281 5.0337 90.00 90.00 120.00
Space group P6_3/mmc (No. 194)
Unique sites:
Li: 0.0000 0.0000 0.2500 [2 per cell]
Li: 0.3333 0.6667 0.2500 [2 per cell]


The structure with the least stability is version x.


Version w
A relaxed structure of Li, computed with PBE-GGA.

Properties
Crystal system: cubic

Lattice parameters (Å, degrees): 4.4576 4.4576 4.4576 90.00 90.00 90.00
Space group P4_132 (No. 213)
Unique sites:
Li: 0.1250 0.3750 0.6250 [4 per cell]


Version x
A relaxed structure of Li, computed with PBE-GGA.

Properties
Crystal system: orthorhombic

Lattice parameters (Å, degrees): 5.7265 7.3815 2.8839 90.00 90.00 90.00
Space group Pmma (No. 51)
Unique sites:
Li: 0.0000 0.0000 0.0000 [2 per cell]
Li: 0.2500 0.3154 0.4908 [4 per cell]


Version y
A relaxed structure of Li, computed with PBE-GGA.

Properties
Crystal system: cubic

Lattice parameters (Å, degrees): 2.7269 2.7269 2.7269 90.00 90.00 90.00
Space group Pm-3m (No. 221)
Unique sites:
Li: 0.0000 0.0000 0.0000 [1 per cell]


Version z
A relaxed structure of Li, computed with PBE-GGA.

Properties
Crystal system: hexagonal

Lattice parameters (Å, degrees): 3.0568 3.0568 4.9693 90.00 90.00 120.00
Space group P6_3/mmc (No. 194)
Unique sites:
Li: 0.3333 0.6667 0.2500 [2 per cell]


The structure with the least stability is version w.


Version w
A relaxed structure of LiLu3, computed with PBE-GGA.

Properties
Crystal system: cubic

Lattice parameters (Å, degrees): 4.7977 4.7977 4.7977 90.00 90.00 90.00
Space group Pm-3m (No. 221)
Unique sites:
Li: 0.0000 0.0000 0.0000 [1 per cell]
Lu: 0.0000 0.5000 0.5000 [3 per cell]


Version x
A relaxed structure of LiLu3, computed with PBE-GGA.

Properties
Crystal system: cubic

Lattice parameters (Å, degrees): 7.5535 7.5535 7.5535 90.00 90.00 90.00
Space group Fm-3m (No. 225)
Unique sites:
Li: 0.0000 0.0000 0.0000 [4 per cell]
Lu: 0.0000 0.0000 0.5000 [4 per cell]
Lu: 0.2500 0.2500 0.2500 [8 per cell]


Version y
A relaxed structure of LiLu3, computed with PBE-GGA.

Properties
Crystal system: orthorhombic

Lattice parameters (Å, degrees): 3.6430 10.9055 5.3408 90.00 90.00 90.00
Space group Imm2 (No. 44)
Unique sites:
Li: 0.0000 0.0000 0.0000 [2 per cell]
Lu: 0.0000 0.2753 0.5013 [4 per cell]
Lu: 0.0000 0.5000 0.0006 [2 per cell]


The structure with the least stability is version w.


Version w
A relaxed structure of Li3Lu, computed with PBE-GGA.

Properties
Crystal system: orthorhombic

Lattice parameters (Å, degrees): 3.3084 5.3351 10.0882 90.00 90.00 90.00
Space group Immm (No. 71)
Unique sites:
Li: 0.0000 0.0000 0.0000 [2 per cell]
Li: 0.0000 0.5000 0.2736 [4 per cell]
Lu: 0.0000 0.0000 0.5000 [2 per cell]


Version x
A relaxed structure of Li3Lu, computed with PBE-GGA.

Properties
Crystal system: hexagonal

Lattice parameters (Å, degrees): 6.4205 6.4205 5.0334 90.00 90.00 120.00
Space group P6_3/mmc (No. 194)
Unique sites:
Li: 0.1559 0.3117 0.2500 [6 per cell]
Lu: 0.3333 0.6667 0.7500 [2 per cell]


The structure with the least stability is version x.